[1]
The following is a DFT calculation (GGA-PBE) of a geometry-optimized Rb2TiBI6 structure.

Lattice parameters (Å, degrees): 8.105 8.105 8.098 59.97 59.97 90.00
Sites, in units of the cell vectors:
Rb 0.750 0.250 0.500
Rb 0.250 0.750 0.500
B 0.500 0.500 0.000
I 0.248 0.248 0.504
I 0.248 0.248 0.000
I 0.752 0.752 0.000
I 0.752 0.752 0.496
I 0.248 0.752 0.000
I 0.752 0.248 0.000
Ti 0.000 0.000 0.000

Values from the calculation:
ΔE_f (raw) in eV per atom: -0.5148
Space group: I4/mmm (139)
Electronic total energy in eV/atom: -3.096



[2]
The following is a DFT calculation (GGA-PBE) of a geometry-optimized Rb2TlBI6 structure.

Lattice parameters (Å, degrees): 8.242 8.242 8.376 60.53 60.53 90.00
Sites, in units of the cell vectors:
I 0.281 0.281 0.000
I 0.727 0.727 0.546
I 0.281 0.719 0.000
I 0.273 0.273 0.454
I 0.719 0.281 0.000
I 0.719 0.719 0.000
Rb 0.250 0.750 0.500
Rb 0.750 0.250 0.500
Tl 0.000 0.000 0.000
B 0.500 0.500 0.000

Values from the calculation:
ΔE_f (raw) in eV per atom: -0.4335
Space group: I4/mmm (139)
Electronic total energy in eV/atom: -2.461



[3]
The following is a DFT calculation (GGA-PBE) of a geometry-optimized Rb2VBI6 structure.

Lattice parameters (Å, degrees): 8.030 8.030 8.027 59.99 59.99 90.00
Sites, in units of the cell vectors:
I 0.753 0.753 0.000
I 0.753 0.247 0.000
I 0.753 0.753 0.494
I 0.247 0.247 0.000
I 0.247 0.753 0.000
I 0.247 0.247 0.506
Rb 0.250 0.750 0.500
Rb 0.750 0.250 0.500
B 0.500 0.500 0.000
V 0.000 0.000 0.000

Values from the calculation:
ΔE_f (raw) in eV per atom: -0.3933
Space group: I4/mmm (139)
Electronic total energy in eV/atom: -3.097



[4]
The following is a DFT calculation (GGA-PBE) of a geometry-optimized Rb2YBI6 structure.

Lattice parameters (Å, degrees): 8.385 8.385 8.388 60.01 60.01 90.00
Sites, in units of the cell vectors:
Y 0.000 0.000 0.000
I 0.256 0.256 0.000
I 0.744 0.256 0.000
I 0.255 0.255 0.489
I 0.745 0.745 0.511
I 0.744 0.744 0.000
I 0.256 0.744 0.000
Rb 0.750 0.250 0.500
Rb 0.250 0.750 0.500
B 0.500 0.500 0.000

Values from the calculation:
ΔE_f (raw) in eV per atom: -0.7902
Space group: Fm-3m (225)
Electronic total energy in eV/atom: -3.228



[5]
The following is a DFT calculation (GGA-PBE) of a geometry-optimized Rb2ZnBI6 structure.

Lattice parameters (Å, degrees): 7.922 7.922 7.932 60.04 60.04 90.00
Sites, in units of the cell vectors:
Rb 0.750 0.250 0.500
Rb 0.250 0.750 0.500
I 0.261 0.261 0.479
I 0.741 0.741 0.000
I 0.741 0.259 0.000
I 0.739 0.739 0.521
I 0.259 0.741 0.000
I 0.259 0.259 0.000
B 0.500 0.500 0.000
Zn 0.000 0.000 0.000

Values from the calculation:
ΔE_f (raw) in eV per atom: -0.3969
Space group: I4/mmm (139)
Electronic total energy in eV/atom: -2.316



[6]
The following is a DFT calculation (GGA-PBE) of a geometry-optimized Rb2ZrBI6 structure.

Lattice parameters (Å, degrees): 8.256 8.256 8.244 59.95 59.95 90.00
Sites, in units of the cell vectors:
Zr 0.000 0.000 0.000
Rb 0.250 0.750 0.500
Rb 0.750 0.250 0.500
I 0.251 0.749 0.000
I 0.749 0.251 0.000
I 0.749 0.749 0.000
I 0.251 0.251 0.000
I 0.748 0.748 0.504
I 0.252 0.252 0.496
B 0.500 0.500 0.000

Values from the calculation:
ΔE_f (raw) in eV per atom: -0.5493
Space group: I4/mmm (139)
Electronic total energy in eV/atom: -3.195